# 1
A plane-wave DFT calculation with GGA-PBE was carried out for a relaxed ZrPt2Au crystal.

Cell: 7.3913 7.3913 5.9467 Å, 51.58 51.58 90.00°
Closest atoms and distances in Å follow each position.
Atoms (fractional coordinates):
Zr (0.5000, 0.5000, 0.0000)  4 Pt 2.66, 2 Au 2.84
Zr (0.2500, 0.7500, 0.5000)  4 Pt 2.66, 2 Au 2.84
Pt (0.8750, 0.8647, 0.7500)  2 Zr 2.66, 2 Au 2.76, 2 Pt 2.84
Pt (0.6147, 0.1250, 0.2500)  2 Zr 2.66, 2 Au 2.76, 2 Pt 2.84
Pt (0.1353, 0.6250, 0.2500)  2 Zr 2.66, 2 Au 2.76, 2 Pt 2.84
Pt (0.3750, 0.3853, 0.7500)  2 Zr 2.66, 2 Au 2.76, 2 Pt 2.84
Au (0.0000, 0.0000, 0.0000)  4 Pt 2.76, 2 Zr 2.84
Au (0.7500, 0.2500, 0.5000)  4 Pt 2.76, 2 Zr 2.84

Summary:
Calculated volume ... 19.37 A^3/atom
Uncorrected energy ... -6.340 eV per atom
Total magnetization ... 0.000 μB/f.u.
D(E_F) ... 1.028 states/eV/atom
E_form ... -0.363 eV/atom

***

# 2
A plane-wave DFT calculation with GGA-PBE was carried out for a relaxed ZrPt2Au crystal.

Cell: 5.0108 5.0108 5.0108 Å, 131.50 131.48 71.04°
Closest atoms and distances in Å follow each position.
Atoms (fractional coordinates):
Zr (0.7500, 0.2500, 0.5000)  8 Pt 2.90, 4 Au 2.91
Au (0.2500, 0.7500, 0.5000)  8 Pt 2.90, 4 Zr 2.91
Pt (0.0000, 0.0000, 0.0000)  4 Au 2.90, 4 Zr 2.90, 4 Pt 2.91
Pt (0.5000, 0.5000, 0.0000)  4 Zr 2.90, 4 Au 2.90, 4 Pt 2.91

Summary:
Calculated volume ... 17.28 A^3/atom
Uncorrected energy ... -6.810 eV per atom
Total magnetization ... 0.000 μB/f.u.
D(E_F) ... 0.441 states/eV/atom
E_form ... -0.834 eV/atom

***

# 3
A plane-wave DFT calculation with GGA-PBE was carried out for a relaxed ZrPtAu crystal.

Cell: 5.0562 5.0240 5.0164 Å, 90.00 119.75 90.00°
Closest atoms and distances in Å follow each position.
Atoms (fractional coordinates):
Zr (0.0155, 0.7500, 0.7577)  5 Pt 2.82-2.98, 5 Au 2.90-2.97
Zr (0.9845, 0.2500, 0.2423)  5 Pt 2.82-2.98, 5 Au 2.90-2.97
Au (0.6532, 0.2500, 0.5767)  2 Au 2.85, 3 Pt 2.87-2.94, 5 Zr 2.90-2.97
Au (0.3468, 0.7500, 0.4233)  2 Au 2.85, 3 Pt 2.87-2.94, 5 Zr 2.90-2.97
Pt (0.6940, 0.7500, 0.0969)  5 Zr 2.82-2.98, 3 Au 2.87-2.94, 2 Pt 3.04
Pt (0.3060, 0.2500, 0.9031)  5 Zr 2.82-2.98, 3 Au 2.87-2.94, 2 Pt 3.04

Summary:
E above lowest polymorph ... 0 meV per atom
Calculated volume ... 18.44 A^3/atom
Uncorrected energy ... -6.846 eV per atom
Total magnetization ... 0.000 μB/f.u.
D(E_F) ... 0.456 states/eV/atom
E_form ... -0.890 eV/atom

***

# 4
A plane-wave DFT calculation with GGA-PBE was carried out for a relaxed Zr2PtAu2 crystal.

Cell: 7.3139 7.3139 3.9309 Å, 90.00 90.00 90.00°
Closest atoms and distances in Å follow each position.
Atoms (fractional coordinates):
Zr (0.3353, 0.8353, 0.0000)  2 Pt 2.73, 6 Au 2.84-2.96
Zr (0.1647, 0.3353, 0.0000)  2 Pt 2.73, 6 Au 2.84-2.96
Zr (0.8353, 0.6647, 0.0000)  2 Pt 2.73, 6 Au 2.84-2.96
Zr (0.6647, 0.1647, 0.0000)  2 Pt 2.73, 6 Au 2.84-2.96
Pt (0.0000, 0.0000, 0.0000)  4 Zr 2.73
Pt (0.5000, 0.5000, 0.0000)  4 Zr 2.73
Au (0.3627, 0.1373, 0.5000)  6 Zr 2.84-2.96, 1 Au 2.84
Au (0.1373, 0.6373, 0.5000)  6 Zr 2.84-2.96, 1 Au 2.84
Au (0.8627, 0.3627, 0.5000)  6 Zr 2.84-2.96, 1 Au 2.84
Au (0.6373, 0.8627, 0.5000)  6 Zr 2.84-2.96, 1 Au 2.84

Summary:
E above lowest polymorph ... 217 meV per atom
Calculated volume ... 21.03 A^3/atom
Uncorrected energy ... -6.246 eV per atom
Total magnetization ... 0.000 μB/f.u.
D(E_F) ... 0.741 states/eV/atom
E_form ... -0.308 eV/atom